First-principles (meta-GGA SCAN) data for a crystal of NbPtSe2 relaxed with PBEsol, as listed in the Alexandria database.

Summary:
- E_tot (eV/cell) = -143.5
- formation energy from raw total energies (meV/atom) = 0.5

Lattice parameters (Å, degrees): 4.5516 4.5516 4.5516 60.00 60.00 60.00
Atoms (fractional coordinates):
Se1 0.2500 0.2500 0.2500
Nb1 0.0000 0.0000 0.0000
Pt1 0.5000 0.5000 0.5000
Se2 0.7500 0.7500 0.7500